Record 1
A relaxed Pm2Cd3Ni2 crystal, computed with PBE.

Summary:
energy relative to the lowest polymorph listed for this composition: 8.3 meV/atom
ΔE_f: -0.30 eV per atom
space-group type: No. 12

Unit cell a=4.019 b=5.487 c=7.431 alpha=95.98 beta=90.00 gamma=111.48
Element x y z (fractional)
Pm 0.375 0.749 0.645
Pm 0.625 0.251 0.355
Cd 0.684 0.367 0.858
Cd 0.316 0.633 0.142
Cd 0.000 0.000 0.000
Ni 0.080 0.160 0.635
Ni 0.920 0.840 0.365

Record 2
A relaxed Ca3DySb2As crystal, computed with PBE.

Summary:
E: -0.317 Ry/atom
space-group type: No. 71

Unit cell a=5.384 b=5.275 c=8.972 alpha=107.09 beta=107.46 gamma=90.00
Element x y z (fractional)
Dy 0.500 0.000 0.000
Ca 0.822 0.822 0.645
Ca 0.178 0.178 0.355
Ca 0.000 0.500 0.000
Sb 0.631 0.631 0.262
Sb 0.369 0.369 0.738
As 0.000 0.000 0.000